[1]
Here is a relaxed CuRe2Si crystal from Alexandria. Energies are from PBE-GGA.

Formation energy without anion corrections ... 0.20 eV per atom

Cell lengths 6.042, 6.042, 6.042 Å; angles 90.00, 90.00, 90.00 degrees
Positions (direct):
Cu1 0.000 0.000 0.000
Cu2 0.000 0.500 0.500
Cu3 0.500 0.000 0.500
Cu4 0.500 0.500 0.000
Re1 0.000 0.000 0.500
Re2 0.000 0.500 0.000
Re3 0.250 0.250 0.250
Re4 0.250 0.750 0.750
Re5 0.500 0.000 0.000
Re6 0.500 0.500 0.500
Re7 0.750 0.250 0.750
Re8 0.750 0.750 0.250
Si1 0.250 0.250 0.750
Si2 0.250 0.750 0.250
Si3 0.750 0.250 0.250
Si4 0.750 0.750 0.750


[2]
Here is a relaxed HoNp5S6 crystal from Alexandria. Energies are from PBE-GGA.

Formation energy without anion corrections ... -1.46 eV per atom

Cell lengths 6.732, 6.732, 6.770 Å; angles 99.54, 99.54, 120.04 degrees
Positions (direct):
Ho1 0.000 0.000 0.000
Np1 0.166 0.834 0.500
Np2 0.333 0.667 0.000
Np3 0.500 0.500 0.500
Np4 0.667 0.333 0.000
Np5 0.834 0.166 0.500
S1 0.083 0.416 0.250
S2 0.250 0.250 0.751
S3 0.416 0.083 0.250
S4 0.584 0.917 0.750
S5 0.750 0.750 0.249
S6 0.917 0.584 0.750


[3]
Here is a relaxed GaAgF2 crystal from Alexandria. Energies are from PBE-GGA.

Energy above the lowest structure with this stoichiometry ... 42.6 meV/atom
Formation energy without anion corrections ... -1.17 eV per atom

Cell lengths 2.969, 2.969, 22.772 Å; angles 90.00, 90.00, 120.00 degrees
Positions (direct):
Ga1 0.000 0.000 0.000
Ga2 0.333 0.667 0.667
Ga3 0.667 0.333 0.333
Ag1 0.000 0.000 0.500
Ag2 0.333 0.667 0.167
Ag3 0.667 0.333 0.833
F1 0.000 0.000 0.088
F2 0.000 0.000 0.912
F3 0.333 0.667 0.578
F4 0.333 0.667 0.755
F5 0.667 0.333 0.245
F6 0.667 0.333 0.422


[4]
Here is a relaxed SrCuNiP2 crystal from Alexandria. Energies are from PBE-GGA.

ΔH_f (0 K) ... -0.6541 eV per atom

Cell lengths 4.072, 4.072, 9.708 Å; angles 90.00, 90.00, 90.00 degrees
Positions (direct):
Sr1 0.000 0.000 0.000
Sr2 0.500 0.500 0.500
Cu1 0.000 0.500 0.750
Cu2 0.500 0.000 0.250
Ni1 0.000 0.500 0.250
Ni2 0.500 0.000 0.750
P1 0.000 0.000 0.374
P2 0.000 0.000 0.626
P3 0.500 0.500 0.126
P4 0.500 0.500 0.874


[5]
Here is a relaxed La2AgRhPb crystal from Alexandria. Energies are from PBE-GGA.

Energy above the lowest structure with this stoichiometry ... 203.7 meV/atom
ΔH_f (0 K) ... -0.3438 eV per atom

Cell lengths 5.390, 5.390, 5.192 Å; angles 90.00, 90.00, 90.00 degrees
Positions (direct):
La1 0.000 0.500 0.000
La2 0.500 0.000 0.000
Ag1 0.000 0.000 0.500
Rh1 0.000 0.000 0.000
Pb1 0.500 0.500 0.500


[6]
Here is a relaxed Be3CrPb crystal from Alexandria. Energies are from PBE-GGA.

Energy above the lowest structure with this stoichiometry ... 0.0 meV/atom
ΔH_f (0 K) ... 1.1098 eV per atom

Cell lengths 4.346, 4.346, 4.346 Å; angles 90.00, 90.00, 90.00 degrees
Positions (direct):
Be1 0.000 0.000 0.500
Be2 0.000 0.500 0.000
Be3 0.500 0.000 0.000
Cr1 0.000 0.000 0.000
Pb1 0.500 0.500 0.500


[7]
Here is a relaxed SrZn2Te2 crystal from Alexandria. Energies are from PBE-GGA.

Energy above the lowest structure with this stoichiometry ... 124.7 meV/atom
Formation energy without anion corrections ... -0.48 eV per atom

Cell lengths 4.196, 4.196, 16.027 Å; angles 90.00, 90.00, 90.00 degrees
Positions (direct):
Sr1 0.000 0.000 0.000
Sr2 0.500 0.500 0.500
Zn1 0.000 0.500 0.250
Zn2 0.000 0.500 0.750
Zn3 0.500 0.000 0.250
Zn4 0.500 0.000 0.750
Te1 0.000 0.000 0.394
Te2 0.000 0.000 0.606
Te3 0.500 0.500 0.106
Te4 0.500 0.500 0.894


What did we get for size of the total moment? Answer: 0.00, 4.04, 0.00, 0.00, 0.00, 2.28, 0.00 Bohr magnetons per cell, in the order shown.
What did we get for DOS at the Fermi energy? Answer: 0.598, 3.707, 0.259, 0.321, 0.796, 0.701, 0.197 states/eV/atom, in the order shown.
What did we get for VASP energy? Answer: -8.40, -9.30, -3.58, -5.13, -5.10, -3.79, -2.58 eV per atom, in the order shown.